# PrEr5Al4, optimized geometry, DFT PBE
# * formation enthalpy at 0 K: -0.312 eV/atom
# * size of the total moment: 0.000 μB/atom
# * N(E_F): 8.186 states/eV per cell
# * symmetry: P4/mmm, No. 123
data_PrEr5Al4
_symmetry_space_group_name_H-M 'P 1'
_symmetry_Int_Tables_number 1
_cell_length_a 3.560
_cell_length_b 3.560
_cell_length_c 19.647
_cell_angle_alpha 90.00
_cell_angle_beta 90.00
_cell_angle_gamma 90.00
loop_
_symmetry_equiv_pos_as_xyz
'x,y,z'
loop_
_atom_site_label
_atom_site_type_symbol
_atom_site_fract_x
_atom_site_fract_y
_atom_site_fract_z
_atom_site_occupancy
Er1 Er 0.500 0.500 0.318 1
Er2 Er 0.500 0.500 0.865 1
Er3 Er 0.500 0.500 0.500 1
Er4 Er 0.500 0.500 0.682 1
Er5 Er 0.500 0.500 0.135 1
Pr1 Pr 0.000 0.000 0.000 1
Al1 Al 0.000 0.000 0.591 1
Al2 Al 0.000 0.000 0.774 1
Al3 Al 0.000 0.000 0.226 1
Al4 Al 0.000 0.000 0.409 1